First-principles (PBE-GGA) data for a geometry-optimized Sr2Zn2Ag structure, as listed in OQMD.

Density = 5.0 g/cm³
Volume = 27.44 A^3/atom
E = -18.21 eV per cell

Cell lengths 3.9996, 3.9996, 17.1554 Å; angles 90.00, 90.00, 90.00 degrees
Space group I4/mmm (No. 139)
Unique sites:
Sr  0.0000  0.0000  0.1041 [4 per cell]
Zn  0.0000  0.5000  0.2500 [4 per cell]
Ag  0.0000  0.0000  0.5000 [2 per cell]